Entry from OQMD via LeMat-Bulk: an optimized crystal structure of Co6SeO8 (GGA+U).

a b c (Å): 8.5473 8.5473 8.5473
angles (deg): 90.00 90.00 90.00
Space group Fm-3m (No. 225)
One atom of each set of equivalent atoms:
Co (0.0000, 0.2500, 0.2500) [24 per cell]
Se (0.0000, 0.0000, 0.0000) [4 per cell]
O (0.0000, 0.0000, 0.2402) [24 per cell]
O (0.2500, 0.2500, 0.2500) [8 per cell]

* uncorrected energy: -5.748 eV per atom